Material: Fe2CuP
Method: DFT, GGA-PBE
State: relaxed

Unit cell a=2.6458 b=2.6458 c=23.5011 alpha=90.00 beta=90.00 gamma=120.00
Space group R3m (No. 160, hexagonal axes)
Inequivalent atoms, fractional coordinates:
Fe 0.0000 0.0000 0.0000 x3
Fe 0.0000 0.0000 0.2473 x3
Cu 0.0000 0.0000 0.4910 x3
P 0.0000 0.0000 0.7362 x3

Computed properties:
* N(E_F): 8.10 states/eV/cell
* formation energy from the elements: 0.09 eV/atom
* calculated volume: 11.87 A^3/atom



Material: Ce2MgPd
Method: DFT, GGA-PBE
State: relaxed

Unit cell a=3.841 b=3.841 c=6.729 alpha=90.00 beta=90.00 gamma=90.00
Space group P4/mmm (No. 123)
Inequivalent atoms, fractional coordinates:
Ce 0.000 0.000 0.212 x2
Mg 0.500 0.500 0.500 x1
Pd 0.500 0.500 0.000 x1

Computed properties:
* N(E_F): 8.77 states/eV/cell
* formation energy from the elements: -0.29 eV/atom
* energy above the most stable polymorph in this dataset: 0.00 eV per formula unit
* calculated volume: 24.82 A^3/atom



Material: CeGd2Hg
Method: DFT, GGA-PBE
State: relaxed

Unit cell a=4.927 b=4.927 c=4.696 alpha=90.00 beta=90.00 gamma=90.00
Space group P4/mmm (No. 123)
Inequivalent atoms, fractional coordinates:
Ce 0.000 0.000 0.000 x1
Gd 0.000 0.500 0.500 x2
Hg 0.500 0.500 0.000 x1

Computed properties:
* N(E_F): 8.07 states/eV/cell
* formation energy from the elements: -0.14 eV/atom
* energy above the most stable polymorph in this dataset: 0.23 eV per formula unit
* calculated volume: 28.50 A^3/atom



Material: BaHfSe2
Method: DFT, GGA-PBE
State: relaxed

Unit cell a=4.5784 b=4.5784 c=26.0343 alpha=90.00 beta=90.00 gamma=120.00
Space group R-3m (No. 166, hexagonal axes)
Inequivalent atoms, fractional coordinates:
Ba 0.0000 0.0000 0.0000 x3
Hf 0.0000 0.0000 0.5000 x3
Se 0.0000 0.0000 0.4041 x6

Computed properties:
* N(E_F): 4.40 states/eV/cell
* energy above the most stable polymorph in this dataset: 1.09 eV per formula unit
* calculated volume: 39.38 A^3/atom
* ΔE_f (raw): -76.6 kJ/mol of atoms



Material: LiSbTe2Cl
Method: DFT, GGA-PBE
State: relaxed

Unit cell a=4.949 b=4.949 c=5.345 alpha=90.00 beta=90.00 gamma=90.00
Space group P4/mmm (No. 123)
Inequivalent atoms, fractional coordinates:
Li 0.000 0.000 0.000 x1
Sb 0.000 0.000 0.500 x1
Te 0.000 0.500 0.000 x2
Cl 0.500 0.500 0.500 x1

Computed properties:
* N(E_F): 2.76 states/eV/cell
* energy above the most stable polymorph in this dataset: 0.00 eV per formula unit
* calculated volume: 26.18 A^3/atom
* ΔE_f (raw): 14.2 kJ/mol of atoms



Material: HfIn2I
Method: DFT, GGA-PBE
State: relaxed

Unit cell a=7.649 b=7.649 c=7.649 alpha=90.00 beta=90.00 gamma=90.00
Space group Fm-3m (No. 225)
Inequivalent atoms, fractional coordinates:
Hf 0.000 0.000 0.000 x4
In 0.250 0.250 0.250 x8
I 0.000 0.000 0.500 x4

Computed properties:
* N(E_F): 14.66 states/eV/cell
* energy above the most stable polymorph in this dataset: 0.66 eV per formula unit
* calculated volume: 27.97 A^3/atom
* ΔE_f (raw): 52.6 kJ/mol of atoms